No. 1
# MgGa2Co

An optimized crystal structure of MgGa2Co (GGA-PBE, OQMD via LeMat-Bulk).

For the uncorrected energy, the calculation gives -3.587 eV/atom. The symmetry is F-43m, No. 216. Its size of the total moment is 0.067 μB/atom.

Unit cell a=4.3906 b=4.3906 c=4.3906 alpha=60.00 beta=60.00 gamma=60.00
Fractional positions:
Co 0.2500 0.2500 0.2500
Ga 0.7500 0.7500 0.7500
Ga 0.0000 0.0000 0.0000
Mg 0.5000 0.5000 0.5000

***

No. 2
# Mg2GaCo2

An optimized crystal structure of Mg2GaCo2 (GGA-PBE, OQMD via LeMat-Bulk).

For the uncorrected energy, the calculation gives -4.208 eV/atom. The symmetry is P4/mbm, No. 127. Its size of the total moment is 0.000 μB/atom.

Unit cell a=6.0470 b=6.0470 c=4.1190 alpha=90.00 beta=90.00 gamma=90.00
Fractional positions:
Ga 0.0000 0.0000 0.0000
Ga 0.5000 0.5000 0.0000
Mg 0.6693 0.8307 0.5000
Mg 0.8307 0.3307 0.5000
Mg 0.1693 0.6693 0.5000
Mg 0.3307 0.1693 0.5000
Co 0.6311 0.1311 0.0000
Co 0.3689 0.8689 0.0000
Co 0.1311 0.3689 0.0000
Co 0.8689 0.6311 0.0000

***

No. 3
# Mg2GaCo3

An optimized crystal structure of Mg2GaCo3 (GGA-PBE, OQMD via LeMat-Bulk).

For the uncorrected energy, the calculation gives -4.714 eV/atom. The symmetry is P6_3/mmc, No. 194. Its size of the total moment is 0.611 μB/atom.

Unit cell a=4.9299 b=4.9299 c=7.9130 alpha=90.00 beta=90.00 gamma=120.00
Fractional positions:
Co 0.3467 0.1733 0.7500
Co 0.8267 0.1733 0.7500
Co 0.1733 0.3467 0.2500
Co 0.8267 0.6533 0.7500
Co 0.1733 0.8267 0.2500
Co 0.6533 0.8267 0.2500
Ga 0.0000 0.0000 0.5000
Ga 0.0000 0.0000 0.0000
Mg 0.3333 0.6667 0.5681
Mg 0.6667 0.3333 0.4319
Mg 0.3333 0.6667 0.9319
Mg 0.6667 0.3333 0.0681

***

No. 4
# MgGaCoMo

An optimized crystal structure of MgGaCoMo (GGA-PBE, OQMD via LeMat-Bulk).

For the uncorrected energy, the calculation gives -5.421 eV/atom. The symmetry is F-43m, No. 216. Its size of the total moment is 0.502 μB/atom.

Unit cell a=4.3281 b=4.3281 c=4.3281 alpha=60.00 beta=60.00 gamma=60.00
Fractional positions:
Mo 0.5000 0.5000 0.5000
Mg 0.2500 0.2500 0.2500
Co 0.7500 0.7500 0.7500
Ga 0.0000 0.0000 0.0000

***

No. 5
# MgNbGaCo

An optimized crystal structure of MgNbGaCo (GGA-PBE, OQMD via LeMat-Bulk).

For the uncorrected energy, the calculation gives -5.412 eV/atom. The symmetry is F-43m, No. 216. Its size of the total moment is 0.048 μB/atom.

Unit cell a=4.3635 b=4.3635 c=4.3635 alpha=60.00 beta=60.00 gamma=60.00
Fractional positions:
Mg 0.2500 0.2500 0.2500
Co 0.7500 0.7500 0.7500
Ga 0.0000 0.0000 0.0000
Nb 0.5000 0.5000 0.5000

***

No. 6
# MgNbGaCo

An optimized crystal structure of MgNbGaCo (GGA-PBE, OQMD via LeMat-Bulk).

For the uncorrected energy, the calculation gives -5.262 eV/atom. The symmetry is F-43m, No. 216. Its size of the total moment is 0.424 μB/atom.

Unit cell a=4.4196 b=4.4196 c=4.4196 alpha=60.00 beta=60.00 gamma=60.00
Fractional positions:
Ga 0.0000 0.0000 0.0000
Mg 0.5000 0.5000 0.5000
Co 0.7500 0.7500 0.7500
Nb 0.2500 0.2500 0.2500